Computed, not measured: crystalline Li3CdAg6 at its relaxed geometry at the GGA-PBE level of DFT.

Properties
The density of states at the Fermi level comes out at 2.68 states/eV/f.u. The theoretical density comes out at 7.2 Mg/m³. The value obtained for the polymorph energy (0 for the lowest one) is 0.02 eV/f.u. The total energy is -2.46 eV per atom. The total moment is 0.00 μB per formula unit.

Lattice parameters (Å, degrees): 10.0755 10.0755 12.2983 90.00 90.00 120.00
Closest atoms and distances in Å follow each position.
Space group R-3 (No. 148, hexagonal axes)
One atom of each set of equivalent atoms:
Li  0.0147  0.5690  0.2068 [18 per cell]  4 Ag 2.55-2.85
Cd  0.0000  0.0000  0.0000 [3 per cell]  6 Ag 2.77
Cd  0.0000  0.0000  0.5000 [3 per cell]  6 Li 2.89, 6 Ag 2.93
Ag  0.0438  0.8567  0.3061 [18 per cell]  7 Ag 2.82-3.14, 4 Li 2.85-3.10, 1 Cd 2.93
Ag  0.0465  0.4504  0.5904 [18 per cell]  3 Li 2.55-2.75, 1 Cd 2.77, 1 Ag 2.79